# HWN2

A relaxed HWN2 crystal (PBE, Alexandria).

Geometry as POSCAR:
```
HWN2
1.0
1.725 0.000 4.869
-0.863 1.494 4.869
-0.863 -1.494 4.869
H W N
1 1 2
Direct
0.000 0.000 0.000
0.500 0.500 0.500
0.913 0.913 0.913
0.087 0.087 0.087
```

Results
The energy above the most stable polymorph in this dataset comes out at 0.000 kcal/mol of atoms.